No. 1
A relaxed ThScBiTe crystal, computed with PBE-GGA.

As for the total energy: -140.34 eV for the cell shown. The offset from the most stable computed form is 0.061 eV/atom. The calculation puts the formation energy from raw total energies at -252 kJ/mol of formula units.

The structure belongs to space group R-3m (No. 166, hexagonal axes); the cell edges are 5.2093, 5.2093 and 33.4611 Å and the angles 90.00°, 90.00° and 120.00°. The asymmetric unit holds Th at (0.0000, 0.0000, 0.1019), Sc at (0.0000, 0.0000, 0.2929), Bi at (0.0000, 0.0000, 0.3838) and Te at (0.0000, 0.0000, 0.2011).

=====

No. 2
A relaxed CaCu2Te crystal, computed with PBE-GGA.

As for the total energy: -13.88 eV for the cell shown. The calculation puts the formation energy from raw total energies at -52 kJ/mol of formula units.

The structure belongs to space group Pmm2 (No. 25); the cell edges are 3.4444, 3.7827 and 6.6433 Å and the angles 90.00°, 90.00° and 90.00°. The asymmetric unit holds Ca at (0.0000, 0.0000, 0.0000), Cu at (0.0000, 0.0000, 0.4226), Cu at (0.5000, 0.5000, 0.3279) and Te at (0.5000, 0.5000, 0.7267).

=====

No. 3
A relaxed SrMgNi2 crystal, computed with PBE-GGA.

As for the total energy: -14.19 eV for the cell shown.

The structure belongs to space group P4mm (No. 99); the cell edges are 3.2629, 3.2629 and 7.5320 Å and the angles 90.00°, 90.00° and 90.00°. The asymmetric unit holds Sr at (0.0000, 0.0000, 0.0000), Mg at (0.5000, 0.5000, 0.3830), Ni at (0.0000, 0.0000, 0.6096) and Ni at (0.5000, 0.5000, 0.7157).

=====

No. 4
A relaxed ThSc6Al crystal, computed with PBE-GGA.

As for the total energy: -49.67 eV for the cell shown.

The structure belongs to space group P4/mmm (No. 123); the cell edges are 4.6260, 4.6260 and 8.9809 Å and the angles 90.00°, 90.00° and 90.00°. The asymmetric unit holds Th at (0.0000, 0.0000, 0.0000), Sc at (0.0000, 0.5000, 0.2642), Sc at (0.5000, 0.5000, 0.0000), Sc at (0.5000, 0.5000, 0.5000) and Al at (0.0000, 0.0000, 0.5000).

=====

No. 5
A relaxed KSrIn2 crystal, computed with PBE-GGA.

As for the total energy: -18.08 eV for the cell shown. The offset from the most stable computed form is 0.000 eV/atom.

The structure belongs to space group Imm2 (No. 44); the cell edges are 4.0567, 5.8889 and 11.9120 Å and the angles 90.00°, 90.00° and 90.00°. The asymmetric unit holds K at (0.0000, 0.0000, 0.0000), Sr at (0.0000, 0.5000, 0.2001), In at (0.0000, 0.0000, 0.4503) and In at (0.0000, 0.5000, 0.7646).

=====

No. 6
A relaxed TaTl2Ge crystal, computed with PBE-GGA.

As for the total energy: -71.65 eV for the cell shown. The offset from the most stable computed form is 0.000 eV/atom.

The structure belongs to space group I-42d (No. 122); the cell edges are 8.1174, 8.1174 and 5.7162 Å and the angles 90.00°, 90.00° and 90.00°. The asymmetric unit holds Ta at (0.0000, 0.0000, 0.0000), Tl at (0.2448, 0.2500, 0.1250) and Ge at (0.0000, 0.0000, 0.5000).